A plane-wave DFT calculation with PBE was carried out for a geometry-optimized BaSmGaS3 structure.

a = 7.3938 Å, b = 7.3938 Å, c = 10.5439 Å
α = 90.00°, β = 90.00°, γ = 146.23°
Closest atoms and distances in Å follow each position.
Sites, in units of the cell vectors:
1 Ba 0.2494 0.7506 0.7500  4 S 3.13-3.43
2 Ba 0.7506 0.2494 0.2500  4 S 3.13-3.43
3 Sm 0.5000 0.5000 0.0000  6 S 2.90-2.92
4 Sm 0.5000 0.5000 0.5000  6 S 2.90-2.92
5 Ga 0.0273 0.9727 0.2500  4 S 2.70-2.71
6 Ga 0.9727 0.0273 0.7500  4 S 2.70-2.71
7 S 0.1346 0.8654 0.0370  1 Ga 2.71, 2 Sm 2.90
8 S 0.1346 0.8654 0.4630  1 Ga 2.71, 2 Sm 2.90
9 S 0.4116 0.5884 0.2500  2 Ga 2.70, 2 Sm 2.92
10 S 0.5884 0.4116 0.7500  2 Ga 2.70, 2 Sm 2.92
11 S 0.8654 0.1346 0.5370  1 Ga 2.71, 2 Sm 2.90
12 S 0.8654 0.1346 0.9630  1 Ga 2.71, 2 Sm 2.90

Computed properties:
**Volume**: 26.70 A^3/atom
**SG**: No. 63

A plane-wave DFT calculation with PBE was carried out for a geometry-optimized NdGd2Pt3Pb3 structure.

a = 4.0192 Å, b = 7.7995 Å, c = 7.7995 Å
α = 120.17°, β = 90.00°, γ = 90.00°
Closest atoms and distances in Å follow each position.
Sites, in units of the cell vectors:
1 Nd 0.0000 0.0000 0.0000  5 Pt 3.14-3.20, 6 Pb 3.28-3.43
2 Gd 0.0000 0.4067 0.8136  5 Pt 3.09-3.16, 6 Pb 3.29-3.44
3 Gd 0.0000 0.8136 0.4067  5 Pt 3.09-3.16, 6 Pb 3.29-3.44
4 Pt 0.0000 0.4109 0.4109  6 Pb 2.83-2.86, 2 Gd 3.16
5 Pt 0.5000 0.0750 0.7356  3 Pb 2.89-2.95, 4 Gd 3.09, 2 Nd 3.14
6 Pt 0.5000 0.7356 0.0750  3 Pb 2.89-2.95, 4 Gd 3.09, 2 Nd 3.14
7 Pb 0.5000 0.1475 0.4075  4 Pt 2.86-2.94
8 Pb 0.5000 0.4075 0.1475  4 Pt 2.86-2.94
9 Pb 0.5000 0.6674 0.6674  4 Pt 2.83-2.95

Computed properties:
**Volume**: 23.49 A^3/atom
**SG**: No. 38

A plane-wave DFT calculation with PBE was carried out for a geometry-optimized RbPrIn structure.

a = 5.7040 Å, b = 5.7040 Å, c = 5.7040 Å
α = 60.00°, β = 60.00°, γ = 60.00°
Closest atoms and distances in Å follow each position.
Sites, in units of the cell vectors:
1 Rb 0.0000 0.0000 0.0000  4 In 3.49
2 Pr 0.5000 0.5000 0.5000  4 In 3.49
3 In 0.7500 0.7500 0.7500  4 Pr 3.49, 4 Rb 3.49

Computed properties:
**Volume**: 43.74 A^3/atom
**Energy above the lowest structure with this stoichiometry**: 0.0 meV per atom
**SG**: No. 216

A plane-wave DFT calculation with PBE was carried out for a geometry-optimized Li2ZnMo structure.

a = 4.3446 Å, b = 4.3446 Å, c = 4.3446 Å
α = 60.00°, β = 60.00°, γ = 60.00°
Closest atoms and distances in Å follow each position.
Sites, in units of the cell vectors:
1 Li 0.0000 0.0000 0.0000  4 Mo 2.66, 4 Li 2.66
2 Li 0.2500 0.2500 0.2500  4 Zn 2.66, 4 Li 2.66
3 Zn 0.5000 0.5000 0.5000  4 Li 2.66, 4 Mo 2.66
4 Mo 0.7500 0.7500 0.7500  4 Zn 2.66, 4 Li 2.66

Computed properties:
**Volume**: 14.50 A^3/atom
**SG**: No. 216

A plane-wave DFT calculation with PBE was carried out for a geometry-optimized NiW2C structure.

a = 3.0358 Å, b = 3.0358 Å, c = 12.6990 Å
α = 90.00°, β = 90.00°, γ = 120.00°
Closest atoms and distances in Å follow each position.
Sites, in units of the cell vectors:
1 Ni 0.3333 0.6667 0.2500  6 W 2.66
2 Ni 0.6667 0.3333 0.7500  6 W 2.66
3 W 0.3333 0.6667 0.5925  3 C 2.11
4 W 0.3333 0.6667 0.9075  3 C 2.11
5 W 0.6667 0.3333 0.0925  3 C 2.11
6 W 0.6667 0.3333 0.4075  3 C 2.11
7 C 0.0000 0.0000 0.0000  6 W 2.11
8 C 0.0000 0.0000 0.5000  6 W 2.11

Computed properties:
**Volume**: 12.67 A^3/atom
**SG**: No. 194

A plane-wave DFT calculation with PBE was carried out for a geometry-optimized NiTePd2 structure.

a = 4.4905 Å, b = 4.4905 Å, c = 4.4905 Å
α = 60.00°, β = 60.00°, γ = 60.00°
Closest atoms and distances in Å follow each position.
Sites, in units of the cell vectors:
1 Ni 0.0000 0.0000 0.0000  4 Te 2.75, 4 Pd 2.75
2 Te 0.2500 0.2500 0.2500  4 Pd 2.75, 4 Ni 2.75
3 Pd 0.5000 0.5000 0.5000  4 Pd 2.75, 4 Te 2.75
4 Pd 0.7500 0.7500 0.7500  4 Ni 2.75, 4 Pd 2.75

Computed properties:
**Volume**: 16.01 A^3/atom
**SG**: No. 216

A plane-wave DFT calculation with PBE was carried out for a geometry-optimized Ba2Cd structure.

a = 10.5881 Å, b = 10.5881 Å, c = 10.5881 Å
α = 60.00°, β = 60.00°, γ = 60.00°
Closest atoms and distances in Å follow each position.
Sites, in units of the cell vectors:
1 Ba 0.0000 0.0000 0.0000  2 Cd 3.24
2 Ba 0.0000 0.0000 0.5000  2 Cd 3.24
3 Ba 0.0000 0.5000 0.0000  2 Cd 3.24
4 Ba 0.5000 0.0000 0.0000  2 Cd 3.24
5 Cd 0.1250 0.1250 0.1250  4 Ba 3.24
6 Cd 0.8750 0.8750 0.8750  4 Ba 3.24

Computed properties:
**Volume**: 139.89 A^3/atom
**SG**: No. 227

A plane-wave DFT calculation with PBE was carried out for a geometry-optimized Li2BiAu structure.

a = 4.7738 Å, b = 4.7738 Å, c = 4.7738 Å
α = 60.00°, β = 60.00°, γ = 60.00°
Closest atoms and distances in Å follow each position.
Sites, in units of the cell vectors:
1 Li 0.0000 0.0000 0.0000  4 Li 2.92, 4 Au 2.92
2 Li 0.2500 0.2500 0.2500  4 Bi 2.92, 4 Li 2.92
3 Bi 0.5000 0.5000 0.5000  4 Li 2.92, 4 Au 2.92
4 Au 0.7500 0.7500 0.7500  4 Bi 2.92, 4 Li 2.92

Computed properties:
**Volume**: 19.23 A^3/atom
**SG**: No. 216

A plane-wave DFT calculation with PBE was carried out for a geometry-optimized Dy2YTm2Lu2Te2Pd2 structure.

a = 9.3385 Å, b = 9.3385 Å, c = 9.3385 Å
α = 155.78°, β = 66.80°, γ = 118.81°
Closest atoms and distances in Å follow each position.
Sites, in units of the cell vectors:
1 Dy 0.1448 0.0000 0.1448  2 Pd 2.94, 2 Te 3.15
2 Dy 0.8552 0.0000 0.8552  2 Pd 2.94, 2 Te 3.15
3 Y 0.2385 0.7385 0.5000  3 Te 3.20-3.25
4 Tm 0.1802 0.3626 0.8176  3 Pd 2.84-3.15, 1 Te 3.15
5 Tm 0.5450 0.3626 0.1824  3 Pd 2.84-3.15, 1 Te 3.15
6 Lu 0.5229 0.1528 0.3701  2 Pd 2.82, 3 Te 3.08-3.15
7 Lu 0.7826 0.1528 0.6299  2 Pd 2.82, 3 Te 3.08-3.15
8 Te 0.5047 0.5047 0.0000  2 Tm 3.15, 4 Lu 3.15, 2 Y 3.20
9 Te 0.8970 0.3970 0.5000  2 Lu 3.08, 4 Dy 3.15, 1 Y 3.25
10 Pd 0.4088 0.6688 0.7400  2 Lu 2.82, 3 Tm 2.84-3.15, 2 Dy 2.94
11 Pd 0.9288 0.6688 0.2600  2 Lu 2.82, 3 Tm 2.84-3.15, 2 Dy 2.94

Computed properties:
**Volume**: 26.40 A^3/atom
**SG**: No. 44

A plane-wave DFT calculation with PBE was carried out for a geometry-optimized Zr2Sb3Mo4C3 structure.

a = 5.7607 Å, b = 5.7607 Å, c = 13.5944 Å
α = 101.12°, β = 101.12°, γ = 60.29°
Closest atoms and distances in Å follow each position.
Sites, in units of the cell vectors:
1 Zr 0.0312 0.8643 0.5969  3 C 2.32-2.35
2 Zr 0.1357 0.9688 0.9031  3 C 2.32-2.35
3 Zr 0.8643 0.0312 0.0969  3 C 2.32-2.35
4 Zr 0.9688 0.1357 0.4031  3 C 2.32-2.35
5 Sb 0.0789 0.2853 0.7470  4 Mo 2.86-3.03, 2 Zr 2.93-2.94, 4 Sb 3.17-3.19
6 Sb 0.2853 0.0789 0.2470  4 Mo 2.86-3.03, 2 Zr 2.93-2.94, 4 Sb 3.17-3.19
7 Sb 0.4478 0.5522 0.7500  4 Mo 2.88-2.99, 2 Zr 2.93, 4 Sb 3.17
8 Sb 0.5522 0.4478 0.2500  4 Mo 2.88-2.99, 2 Zr 2.93, 4 Sb 3.17
9 Sb 0.7147 0.9211 0.7530  4 Mo 2.86-3.03, 2 Zr 2.93-2.94, 4 Sb 3.17-3.19
10 Sb 0.9211 0.7147 0.2530  4 Mo 2.86-3.03, 2 Zr 2.93-2.94, 4 Sb 3.17-3.19
11 Mo 0.1931 0.3483 0.0763  3 C 2.15-2.17
12 Mo 0.3058 0.4868 0.4218  3 C 2.15-2.19
13 Mo 0.3483 0.1931 0.5763  3 C 2.15-2.17
14 Mo 0.4868 0.3058 0.9218  3 C 2.15-2.19
15 Mo 0.5132 0.6942 0.0782  3 C 2.15-2.19
16 Mo 0.6517 0.8069 0.4237  3 C 2.15-2.17
17 Mo 0.6942 0.5132 0.5782  3 C 2.15-2.19
18 Mo 0.8069 0.6517 0.9237  3 C 2.15-2.17
19 C 0.0000 0.5000 0.5000  4 Mo 2.15-2.19, 2 Zr 2.32
20 C 0.1698 0.6572 0.9994  4 Mo 2.15-2.19, 2 Zr 2.33-2.35
21 C 0.3428 0.8302 0.5006  4 Mo 2.15-2.19, 2 Zr 2.33-2.35
22 C 0.5000 0.0000 0.0000  4 Mo 2.15-2.19, 2 Zr 2.32
23 C 0.6572 0.1698 0.4994  4 Mo 2.15-2.19, 2 Zr 2.33-2.35
24 C 0.8302 0.3428 0.0006  4 Mo 2.15-2.19, 2 Zr 2.33-2.35

Computed properties:
**Volume**: 15.92 A^3/atom
**SG**: No. 15

| no. | total DFT energy (no corrections) (eV per formula unit) |
| --- | --- |
| 1 | -30.4 |
| 2 | -50.9 |
| 3 | -7.5 |
| 4 | -14.1 |
| 5 | -40.0 |
| 6 | -19.5 |
| 7 | -3.0 |
| 8 | -12.9 |
| 9 | -59.7 |
| 10 | -103.4 |